A plane-wave DFT calculation with PBE was carried out for ReAsPb2 after structural relaxation.

Results
Raw total energy, eV per formula unit: -20.50
Energy of formation from the pure elements, eV/atom: 1.003
Theoretical density, g/cm³: 12.8
DOS(E_F), states/eV/cell: 8.9
Total magnetization, μB/f.u.: 0.00

Cell lengths 3.7527, 5.1118, 9.1564 Å; angles 90.00, 90.00, 90.00 degrees
With the nearest neighbours (Å) after each atom.
Space group Immm (No. 71)
Inequivalent atoms, fractional coordinates:
Re (0.0000, 0.0000, 0.0000) (multiplicity 2)  4 Pb 2.95, 4 As 3.17
As (0.0000, 0.0000, 0.5000) (multiplicity 2)  4 Pb 2.97, 4 Re 3.17
Pb (0.0000, 0.5000, 0.2519) (multiplicity 4)  2 Re 2.95, 2 As 2.97, 4 Pb 3.17

A plane-wave DFT calculation with PBE was carried out for ReAsPb2 after structural relaxation.

Results
Raw total energy, eV per formula unit: -20.69
Energy of formation from the pure elements, eV/atom: 0.957
Theoretical density, g/cm³: 12.9
DOS(E_F), states/eV/cell: 3.2
Total magnetization, μB/f.u.: 0.00

Cell lengths 4.9357, 4.9357, 3.5826 Å; angles 90.00, 90.00, 90.00 degrees
With the nearest neighbours (Å) after each atom.
Space group P4/mmm (No. 123)
Inequivalent atoms, fractional coordinates:
Re (0.0000, 0.0000, 0.0000) (multiplicity 1)  8 Pb 3.05
As (0.5000, 0.5000, 0.0000) (multiplicity 1)  8 Pb 3.05
Pb (0.0000, 0.5000, 0.5000) (multiplicity 2)  4 As 3.05, 4 Re 3.05